1.
## CaS2N2 (PBE-GGA)

Data for a relaxed CaS2N2 crystal.

Cell lengths 5.564, 5.564, 4.926 Å; angles 90.00, 90.00, 90.00 degrees
Space group P4/mmm (No. 123)
Asymmetric unit:
Ca 0.000 0.000 0.000 [1 per cell]
S 0.000 0.500 0.000 [2 per cell]
N 0.000 0.000 0.500 [1 per cell]
N 0.500 0.500 0.500 [1 per cell]

The calculation puts the energy above the most stable polymorph in this dataset at 7.45 eV per formula unit. The uncorrected formation energy is 1.86 eV per atom. The density of states at the Fermi level is 0.7517 states/eV/atom. The calculation puts the calculated density at 1.440 g/cm3. The energy comes out at -3.518 eV/atom.


2.
## Rb2PuH2S4 (PBE-GGA)

Data for a relaxed Rb2PuH2S4 crystal.

Cell lengths 17.653, 3.618, 7.318 Å; angles 90.00, 114.47, 90.00 degrees
Space group C2/m (No. 12)
Asymmetric unit:
Rb 0.146 0.000 0.146 [4 per cell]
Pu 0.000 0.000 0.500 [2 per cell]
H 0.170 0.500 0.670 [4 per cell]
S 0.000 0.500 0.244 [4 per cell]
S 0.171 0.000 0.671 [4 per cell]

The density of states at the Fermi level is 0.8252 states/eV/atom. The calculation puts the calculated density at 4.256 g/cm3. The energy comes out at -5.161 eV/atom.


3.
## ZnCr2Pb (PBE-GGA)

Data for a relaxed ZnCr2Pb crystal.

Cell lengths 4.167, 4.226, 8.059 Å; angles 90.00, 90.00, 90.00 degrees
Space group Imm2 (No. 44)
Asymmetric unit:
Zn 0.000 0.000 0.000 [2 per cell]
Cr 0.000 0.000 0.496 [2 per cell]
Cr 0.000 0.500 0.754 [2 per cell]
Pb 0.000 0.500 0.248 [2 per cell]

The value obtained for the energy relative to the elements is 46 kJ/mol of atoms. The density of states at the Fermi level is 0.6426 states/eV/atom. The calculation puts the calculated density at 8.814 g/cm3. The energy comes out at -5.586 eV/atom.


4.
## CeHf2Pt (PBE-GGA)

Data for a relaxed CeHf2Pt crystal.

Cell lengths 4.7388, 4.7388, 14.8008 Å; angles 90.00, 90.00, 120.00 degrees
Space group R3m (No. 160, hexagonal axes)
Asymmetric unit:
Ce 0.0000 0.0000 0.0000 [3 per cell]
Hf 0.0000 0.0000 0.2071 [3 per cell]
Hf 0.0000 0.0000 0.4327 [3 per cell]
Pt 0.0000 0.0000 0.8115 [3 per cell]

The calculation puts the energy above the most stable polymorph in this dataset at 0.83 eV per formula unit. The value obtained for the energy relative to the elements is -24 kJ/mol of atoms. The density of states at the Fermi level is 1.6610 states/eV/atom. The calculation puts the calculated density at 11.980 g/cm3. The energy comes out at -8.220 eV/atom.


5.
## ZnH2Pt2 (PBE-GGA)

Data for a relaxed ZnH2Pt2 crystal.

Cell lengths 6.562, 6.562, 2.868 Å; angles 90.00, 90.00, 90.00 degrees
Space group P4/mbm (No. 127)
Asymmetric unit:
Zn 0.000 0.000 0.000 [2 per cell]
H 0.248 0.252 0.500 [4 per cell]
Pt 0.146 0.354 0.000 [4 per cell]

The calculation puts the energy above the most stable polymorph in this dataset at 0.91 eV per formula unit. The density of states at the Fermi level is 0.2498 states/eV/atom. The calculation puts the calculated density at 12.306 g/cm3. The energy comes out at -3.962 eV/atom.